(1)
Density functional theory data (PBE) for a relaxed NaPa2RuO8 crystal.

Properties
- energy relative to the elements, uncorrected (eV per atom) = -2.19
- E_tot (eV/atom) = -7.9644

POSCAR file:
```
NaPa2RuO8
1.0
5.396 0.000 0.000
-2.698 4.673 0.000
0.000 0.000 6.999
Na Pa Ru O
1 2 1 8
Cartesian
0.000 0.000 0.000
0.000 3.115 2.573
2.698 1.558 4.426
0.000 0.000 3.500
0.000 1.643 4.528
-1.275 3.852 4.528
0.000 3.115 0.716
1.423 0.822 2.471
1.275 3.852 4.528
2.698 1.558 6.283
3.973 0.822 2.471
2.698 3.030 2.471
```



(2)
Density functional theory data (PBE) for a relaxed NaPaSO6 crystal.

Properties
- energy relative to the elements, uncorrected (eV per atom) = -1.86
- E_tot (eV/atom) = -6.8213

POSCAR file:
```
NaPaSO6
1.0
5.081 0.000 0.000
-2.541 4.400 0.000
0.000 0.000 4.562
Na Pa S O
1 1 1 6
Cartesian
0.000 0.000 0.000
2.541 1.467 2.281
0.000 2.934 0.000
-0.767 1.789 0.995
-1.375 2.842 3.567
0.767 1.789 3.567
-0.608 4.170 0.995
1.375 2.842 0.995
0.608 4.170 3.567
```



(3)
Density functional theory data (PBE) for a relaxed Na2PaSO8 crystal.

Properties
- energy relative to the elements, uncorrected (eV per atom) = -1.27
- E_tot (eV/atom) = -5.9316

POSCAR file:
```
Na2PaSO8
1.0
5.162 0.000 0.000
-2.581 4.471 0.000
0.000 0.000 5.870
Na Pa S O
2 1 1 8
Cartesian
0.000 2.981 2.358
2.581 1.490 3.512
0.000 0.000 0.000
0.000 0.000 2.935
0.000 1.323 3.950
-1.435 3.809 3.950
1.146 0.662 1.920
0.000 2.981 0.135
2.581 1.490 5.735
1.435 3.809 3.950
4.016 0.662 1.920
2.581 3.147 1.920
```



(4)
Density functional theory data (PBE) for a relaxed NaPaSO2 crystal.

Properties
- energy relative to the elements, uncorrected (eV per atom) = -2.51
- E_tot (eV/atom) = -7.4839

POSCAR file:
```
NaPaSO2
1.0
-1.885 1.885 6.162
1.885 -1.885 6.162
1.885 1.885 -6.162
Na Pa S O
1 1 1 2
Cartesian
0.000 0.000 0.000
0.000 0.000 3.694
0.000 0.000 8.266
1.885 0.000 4.695
0.000 1.885 4.695
```



(5)
Density functional theory data (PBE) for a relaxed NaPaS2O crystal.

Properties
- energy relative to the elements, uncorrected (eV per atom) = -2.06
- E_tot (eV/atom) = -6.8666

POSCAR file:
```
NaPaS2O
1.0
1.836 -6.658 0.000
1.836 6.658 0.000
0.000 0.000 8.283
Na Pa S O
2 2 4 2
Cartesian
0.000 0.000 0.000
0.000 0.000 4.142
1.836 3.083 6.212
1.836 -3.083 2.071
1.836 2.013 0.529
1.836 2.013 3.613
1.836 -2.013 4.670
1.836 -2.013 7.754
1.836 4.699 2.071
1.836 -4.699 6.212
```



(6)
Density functional theory data (PBE) for a relaxed NaPa2SbO8 crystal.

Properties
- energy relative to the elements, uncorrected (eV per atom) = -2.72
- E_tot (eV/atom) = -8.0641

POSCAR file:
```
NaPa2SbO8
1.0
3.488 -3.500 0.000
3.488 3.500 0.000
0.000 0.000 7.108
Na Pa Sb O
1 2 1 8
Cartesian
0.000 0.000 0.000
3.488 0.000 1.756
3.488 0.000 5.352
0.000 0.000 3.554
1.365 0.000 2.084
1.365 0.000 5.024
3.488 1.429 3.554
3.488 1.247 0.000
3.488 -1.247 0.000
3.488 -1.429 3.554
5.611 0.000 2.084
5.611 0.000 5.024
```



(7)
Density functional theory data (PBE) for a relaxed NaPaSb2O7 crystal.

Properties
- energy relative to the elements, uncorrected (eV per atom) = -1.71
- E_tot (eV/atom) = -6.6020

POSCAR file:
```
NaPaSb2O7
1.0
3.908 0.000 0.000
0.000 3.908 0.000
0.000 0.000 11.198
Na Pa Sb O
1 1 2 7
Cartesian
0.000 0.000 0.000
0.000 0.000 5.599
1.954 1.954 3.250
1.954 1.954 7.948
0.000 1.954 3.923
0.000 1.954 7.275
1.954 0.000 3.923
1.954 0.000 7.275
1.954 1.954 1.365
1.954 1.954 5.599
1.954 1.954 9.833
```



(8)
Density functional theory data (PBE) for a relaxed NaPaSbO5 crystal.

Properties
- energy relative to the elements, uncorrected (eV per atom) = -2.31
- E_tot (eV/atom) = -7.2751

POSCAR file:
```
NaPaSbO5
1.0
4.168 -4.778 0.000
4.168 4.778 0.000
-4.034 0.000 7.290
Na Pa Sb O
2 2 2 10
Cartesian
1.142 2.959 5.467
3.159 -2.959 1.822
4.168 0.000 0.000
2.151 0.000 3.645
3.159 3.287 1.822
1.142 -3.287 5.467
-1.823 0.130 6.263
0.194 -0.130 2.618
2.200 2.175 3.237
4.118 2.175 0.408
1.142 0.510 5.467
3.159 -0.510 1.822
0.184 -2.175 6.882
2.101 -2.175 4.053
4.107 0.130 4.672
6.124 -0.130 1.027
```



(9)
Density functional theory data (PBE) for a relaxed Na2Sc3PaO8 crystal.

Properties
- energy relative to the elements, uncorrected (eV per atom) = -3.08
- E_tot (eV/atom) = -8.1332

POSCAR file:
```
Na2Sc3PaO8
1.0
3.270 1.888 5.757
-3.270 1.888 5.757
0.000 -3.776 5.757
Na Sc Pa O
2 3 1 8
Cartesian
0.000 0.000 0.000
0.000 0.000 6.035
0.000 -1.863 8.892
-1.614 0.932 8.892
1.614 0.932 8.892
0.000 0.000 14.179
0.000 -2.002 4.030
-1.734 1.001 4.030
0.000 0.000 2.181
-1.524 -0.880 7.671
0.000 0.000 9.827
1.734 1.001 4.030
1.524 -0.880 7.671
0.000 1.760 7.671
```



(10)
Density functional theory data (PBE) for a relaxed NaScPa2O8 crystal.

Properties
- energy relative to the elements, uncorrected (eV per atom) = -2.58
- E_tot (eV/atom) = -8.1062

POSCAR file:
```
NaScPa2O8
1.0
6.364 0.000 0.000
-3.182 5.511 0.000
0.000 0.000 6.172
Na Sc Pa O
1 1 2 8
Cartesian
0.000 0.000 0.000
0.000 0.000 3.086
0.000 3.674 1.387
3.182 1.837 4.784
-0.006 1.660 1.793
-1.741 4.686 1.793
1.435 0.835 4.379
0.000 3.674 5.582
3.182 1.837 0.590
1.747 4.676 1.793
4.923 0.825 4.379
3.188 3.851 4.379
```



(11)
Density functional theory data (PBE) for a relaxed NaPa2SeO8 crystal.

Properties
- energy relative to the elements, uncorrected (eV per atom) = -2.12
- E_tot (eV/atom) = -7.4128

POSCAR file:
```
NaPa2SeO8
1.0
5.253 0.000 0.000
-2.627 4.550 0.000
0.000 0.000 7.294
Na Pa Se O
1 2 1 8
Cartesian
0.000 0.000 0.000
0.000 3.033 2.563
2.627 1.517 4.731
0.000 0.000 3.647
0.000 1.543 4.671
-1.291 3.778 4.671
0.000 3.033 0.693
1.336 0.771 2.623
1.291 3.778 4.671
2.627 1.517 6.601
3.917 0.771 2.623
2.627 3.007 2.623
```



(12)
Density functional theory data (PBE) for a relaxed Na3PaSe4O12 crystal.

Properties
- energy relative to the elements, uncorrected (eV per atom) = -1.24
- E_tot (eV/atom) = -5.5820

POSCAR file:
```
Na3PaSe4O12
1.0
5.603 3.235 2.759
-5.603 3.235 2.759
0.000 -6.470 2.759
Na Pa Se O
3 1 4 12
Cartesian
-3.239 -0.860 2.759
-3.239 0.860 5.518
0.875 3.235 2.759
0.000 0.000 0.000
-2.257 -3.909 4.138
0.000 0.000 4.138
-2.257 3.909 4.138
4.514 0.000 4.138
-3.882 -2.854 4.165
-5.019 0.000 4.138
-0.531 -4.788 4.111
-3.882 2.854 4.111
-1.656 0.000 4.138
2.509 -4.346 4.138
0.828 -1.434 4.138
0.828 1.434 4.138
-0.531 4.788 4.165
4.412 -1.935 4.165
2.509 4.346 4.138
4.412 1.935 4.111
```



(13)
Density functional theory data (PBE) for a relaxed NaPaSeO2 crystal.

Properties
- energy relative to the elements, uncorrected (eV per atom) = -2.52
- E_tot (eV/atom) = -7.3621

POSCAR file:
```
NaPaSeO2
1.0
-1.915 1.915 6.232
1.915 -1.915 6.232
1.915 1.915 -6.232
Na Pa Se O
1 1 1 2
Cartesian
0.000 0.000 0.000
0.000 0.000 3.808
0.000 0.000 8.305
1.915 0.000 4.764
0.000 1.915 4.764
```



(14)
Density functional theory data (PBE) for a relaxed Na2PaSe2O6 crystal.

Properties
- energy relative to the elements, uncorrected (eV per atom) = -1.62
- E_tot (eV/atom) = -6.0617

POSCAR file:
```
Na2PaSe2O6
1.0
6.025 0.000 0.000
-3.013 5.218 0.000
0.000 0.000 6.214
Na Pa Se O
2 1 2 6
Cartesian
0.000 3.479 1.968
3.013 1.739 4.245
0.000 0.000 0.000
0.000 3.479 5.058
3.013 1.739 1.155
-1.952 3.741 4.978
0.749 1.657 4.978
1.809 0.180 1.236
1.203 5.038 4.978
2.264 3.561 1.236
4.964 1.477 1.236
```



(15)
Density functional theory data (PBE) for a relaxed NaPaSe2O crystal.

Properties
- energy relative to the elements, uncorrected (eV per atom) = -1.93
- E_tot (eV/atom) = -6.4803

POSCAR file:
```
NaPaSe2O
1.0
1.873 -7.145 0.000
1.873 7.145 0.000
0.000 0.000 8.678
Na Pa Se O
2 2 4 2
Cartesian
0.000 0.000 0.000
0.000 0.000 4.339
1.873 3.345 6.509
1.873 -3.345 2.170
1.873 2.128 0.521
1.873 2.128 3.818
1.873 -2.128 4.860
1.873 -2.128 8.157
1.873 4.842 2.170
1.873 -4.842 6.509
```



(16)
Density functional theory data (PBE) for a relaxed Na2PaSeO5 crystal.

Properties
- energy relative to the elements, uncorrected (eV per atom) = -1.44
- E_tot (eV/atom) = -5.9270

POSCAR file:
```
Na2PaSeO5
1.0
-3.458 3.458 4.888
3.458 -3.458 4.888
3.458 3.458 -4.888
Na Pa Se O
4 2 2 10
Cartesian
4.609 1.150 0.000
1.150 2.308 0.000
2.308 1.150 4.888
-1.150 2.308 4.888
0.000 0.000 2.444
0.000 0.000 7.333
3.458 0.000 2.444
0.000 3.458 2.444
0.000 0.000 0.000
2.298 1.161 -1.518
2.298 -1.161 3.370
2.298 1.161 1.518
2.298 -1.161 6.406
0.000 0.000 4.888
1.161 4.619 -1.518
1.161 2.298 3.370
1.161 4.619 1.518
1.161 2.298 6.406
```



(17)
Density functional theory data (PBE) for a relaxed NaPaSi2O8 crystal.

Properties
- energy relative to the elements, uncorrected (eV per atom) = -2.43
- E_tot (eV/atom) = -7.5452

POSCAR file:
```
NaPaSi2O8
1.0
-3.488 3.488 3.139
3.488 -3.488 3.139
3.488 3.488 -3.139
Na Pa Si O
1 1 2 8
Cartesian
0.000 0.000 0.000
0.000 3.488 1.569
3.488 0.000 1.569
0.000 0.000 3.139
2.245 0.000 0.502
4.730 0.000 0.502
3.488 2.142 -0.954
3.488 -1.243 2.636
0.000 1.346 2.184
3.488 1.243 2.636
2.142 3.488 0.954
1.346 0.000 4.093
```



(18)
Density functional theory data (PBE) for a relaxed NaPa2SiO8 crystal.

Properties
- energy relative to the elements, uncorrected (eV per atom) = -2.65
- E_tot (eV/atom) = -8.1013

POSCAR file:
```
NaPa2SiO8
1.0
4.989 0.000 0.000
-2.494 4.320 0.000
0.000 0.000 7.611
Na Pa Si O
1 2 1 8
Cartesian
0.000 0.000 0.000
0.000 2.880 2.630
2.494 1.440 4.981
0.000 0.000 3.805
0.000 1.433 4.828
-1.253 3.604 4.828
1.241 0.717 2.783
0.000 2.880 0.753
2.494 1.440 6.858
1.253 3.604 4.828
3.747 0.717 2.783
2.494 2.887 2.783
```



(19)
Density functional theory data (PBE) for a relaxed NaSmPa2O8 crystal.

Properties
- energy relative to the elements, uncorrected (eV per atom) = -2.46
- E_tot (eV/atom) = -7.8504

POSCAR file:
```
NaSmPa2O8
1.0
5.896 0.000 0.000
-2.948 5.106 0.000
0.000 0.000 5.575
Na Sm Pa O
1 1 2 8
Cartesian
0.000 0.000 0.000
0.000 0.000 2.787
0.000 3.404 5.137
2.948 1.702 0.437
-0.715 1.772 1.023
-1.056 4.839 1.023
0.000 3.404 3.169
1.178 1.505 4.551
1.770 3.601 1.023
2.948 1.702 2.405
4.004 0.267 4.551
3.663 3.334 4.551
```



(20)
Density functional theory data (PBE) for a relaxed NaSm2PaO6 crystal.

Properties
- energy relative to the elements, uncorrected (eV per atom) = -3.22
- E_tot (eV/atom) = -8.2217

POSCAR file:
```
NaSm2PaO6
1.0
2.999 1.731 5.183
-2.999 1.731 5.183
0.000 -3.463 5.183
Na Sm Pa O
1 2 1 6
Cartesian
0.000 0.000 0.000
0.000 0.000 4.236
0.000 0.000 12.120
0.000 0.000 7.540
-1.622 -0.114 6.067
-1.113 -1.650 8.480
0.910 -1.347 6.067
-0.873 1.789 8.480
0.712 1.462 6.067
1.986 -0.139 8.480
```